(1)
Compound: AcUIr4
Source: Alexandria
Functional: PBE
Structure: relaxed

Cell and atoms, written as POSCAR:
```
AcUIr4
1.0
0.000 3.853 3.853
3.853 0.000 3.853
3.853 3.853 0.000
Ac U Ir
1 1 4
Direct
0.000 0.000 0.000
0.250 0.250 0.250
0.127 0.624 0.624
0.624 0.127 0.624
0.624 0.624 0.127
0.624 0.624 0.624
```

Output
Energy of formation ... -469.7 meV per atom
M_tot ... 2.151 μB per formula unit

(2)
Compound: MgSc5As6
Source: Alexandria
Functional: PBE
Structure: relaxed

Cell and atoms, written as POSCAR:
```
MgSc5As6
1.0
3.372 -5.833 0.000
3.372 5.833 0.000
-2.250 0.000 6.359
Mg Sc As
1 5 6
Direct
0.000 0.000 0.000
0.166 0.834 0.500
0.333 0.667 0.000
0.500 0.500 0.500
0.667 0.333 0.000
0.834 0.166 0.500
0.084 0.421 0.251
0.253 0.253 0.748
0.421 0.084 0.251
0.579 0.916 0.749
0.747 0.747 0.252
0.916 0.579 0.749
```

Output
Energy of formation ... -1181.6 meV per atom
M_tot ... 0.000 μB per formula unit

(3)
Compound: Y2CrP
Source: Alexandria
Functional: PBE
Structure: relaxed

Cell and atoms, written as POSCAR:
```
Y2CrP
1.0
3.635 0.000 0.000
0.000 3.616 0.000
-0.011 0.000 6.576
Y Cr P
2 1 1
Direct
0.001 0.000 0.264
0.999 0.000 0.736
0.500 0.500 0.000
0.500 0.500 0.500
```

Output
Energy of formation ... -379.5 meV per atom
M_tot ... 3.132 μB per formula unit

(4)
Compound: RuIN2
Source: Alexandria
Functional: PBE
Structure: relaxed

Cell and atoms, written as POSCAR:
```
RuIN2
1.0
1.604 0.926 6.973
-1.604 0.926 6.973
0.000 -1.852 6.973
Ru I N
1 1 2
Direct
0.000 0.000 0.000
0.500 0.500 0.500
0.088 0.088 0.088
0.912 0.912 0.912
```

Output
Offset from the most stable computed form ... 921.5 meV per atom
M_tot ... 0.424 μB per formula unit